[1]
Density functional theory data (PBE-GGA) for crystalline CuPPbS2 at its relaxed geometry.

Summary:
Density of states at the Fermi level in states/eV per cell: 3.21
Calculated volume in Å³/atom: 20.60
Formation energy (no corrections) in eV/atom: 0.31
Crystal system: tetragonal
Calculated total energy in eV/cell: -19.9

Cell: 4.893 4.893 4.302 Å, 90.00 90.00 90.00°
Sites, in units of the cell vectors:
Cu (0.000, 0.000, 0.000)
P (0.000, 0.000, 0.500)
Pb (0.500, 0.500, 0.500)
S (0.000, 0.500, 0.000)
S (0.500, 0.000, 0.000)

[2]
Density functional theory data (PBE-GGA) for crystalline CuPPbS2 at its relaxed geometry.

Summary:
Density of states at the Fermi level in states/eV per cell: 4.40
Calculated volume in Å³/atom: 28.71
Formation energy (no corrections) in eV/atom: 1.23
Crystal system: tetragonal
Calculated total energy in eV/cell: -15.3

Cell: 5.237 5.237 5.235 Å, 90.00 90.00 90.00°
Sites, in units of the cell vectors:
Cu (0.000, 0.000, 0.000)
P (0.500, 0.500, 0.000)
Pb (0.500, 0.500, 0.500)
S (0.000, 0.500, 0.500)
S (0.500, 0.000, 0.500)

Q: Among the records above, which one has the highest calculated total energy?
A: number 2

Q: Which value of density of states at the Fermi level does entry 2 give?
A: 4.40 states/eV per cell

Q: Which of these has the highest calculated volume?
A: number 2